This record from Alexandria via LeMat-Bulk describes crystalline CuPtW3 at its relaxed geometry. The functional is PBE.

The structure in extended XYZ format:
```
5
Lattice="4.7718 0.0000 0.0000 0.0000 4.7718 0.0000 0.0000 0.0000 4.7718" Properties=species:S:1:pos:R:3 pbc="T T T"
W 0.0000 2.3859 0.0000
W 2.3859 0.0000 0.0000
W 0.0000 0.0000 2.3859
Cu 2.3859 2.3859 2.3859
Pt 0.0000 0.0000 0.0000
```

Values from the calculation:
Spin magnetization (Bohr magnetons per cell): 0.000
Calculated formation energy (kJ/mol of atoms): 223
Relative energy among the computed polymorphs (meV/atom): 628